[1]
TiCoIr: relaxed, PBE.

* spin magnetization: 2.5 μB/cell
* energy relative to the elements: -0.34 eV/atom

Lattice parameters (Å, degrees): 4.1111 10.0810 4.6080 81.10 116.49 90.00
Fractional coordinates of all 12 atoms:
Ti  0.1063  0.3259  0.2126
Ti  0.4336  0.1473  0.8672
Ti  0.5664  0.8527  0.1328
Ti  0.8937  0.6741  0.7874
Ir  0.2206  0.5862  0.4413
Ir  0.8629  0.9428  0.7258
Ir  0.7794  0.4138  0.5587
Ir  0.1371  0.0572  0.2742
Co  0.4605  0.3901  0.9209
Co  0.7181  0.1862  0.4362
Co  0.5395  0.6099  0.0791
Co  0.2819  0.8138  0.5638

---

[2]
TiCoIr: relaxed, PBE.

* spin magnetization: 1.5 μB/cell
* energy relative to the elements: -0.39 eV/atom

Lattice parameters (Å, degrees): 3.0401 3.0401 4.9680 107.82 107.82 90.00
Fractional coordinates of all 3 atoms:
Ir  0.6112  0.6112  0.2224
Co  0.2945  0.2945  0.5891
Ti  0.9443  0.9443  0.8886

---

[3]
Ti4CoIr2: relaxed, PBE.

* spin magnetization: 0.5 μB/cell
* energy relative to the elements: -0.60 eV/atom

Lattice parameters (Å, degrees): 4.3050 4.3050 7.4025 73.10 73.10 60.00
Fractional coordinates of all 7 atoms:
Ti  0.8722  0.8722  0.3834
Ti  0.1278  0.1278  0.6166
Ti  0.6214  0.6214  0.1358
Ti  0.3786  0.3786  0.8642
Co  0.0000  0.0000  0.0000
Ir  0.7474  0.7474  0.7579
Ir  0.2526  0.2526  0.2421

---

[4]
Ti6Co2Ir: relaxed, PBE.

* spin magnetization: 0.0 μB/cell
* energy relative to the elements: -0.21 eV/atom

Lattice parameters (Å, degrees): 5.0031 6.5845 8.5429 90.00 90.04 90.00
Fractional coordinates of all 18 atoms:
Ti  0.8292  0.9099  0.2348
Ti  0.8320  0.6368  0.5451
Ti  0.8700  0.7312  0.9226
Ti  0.6300  0.2312  0.5774
Ti  0.6680  0.1368  0.9549
Ti  0.6708  0.4099  0.2652
Ti  0.1708  0.0901  0.7652
Ti  0.1680  0.3632  0.4549
Ti  0.1300  0.2688  0.0774
Ti  0.3700  0.7688  0.4226
Ti  0.3320  0.8632  0.0451
Ti  0.3292  0.5901  0.7348
Co  0.8768  0.4113  0.7776
Co  0.6232  0.9113  0.7224
Co  0.3768  0.0887  0.2776
Co  0.1232  0.5887  0.2224
Ir  0.5000  0.5000  0.0000
Ir  0.0000  0.0000  0.5000

---

[5]
TiCo4Ir: relaxed, PBE.

* spin magnetization: 5.1 μB/cell
* energy relative to the elements: -0.19 eV/atom

Lattice parameters (Å, degrees): 4.0787 4.0787 5.0953 90.00 90.00 119.99
Fractional coordinates of all 6 atoms:
Ti  0.0000  0.5000  0.5000
Co  0.3333  0.1667  0.7498
Co  0.6667  0.8333  0.7498
Co  0.3333  0.1667  0.2502
Co  0.6667  0.8333  0.2502
Ir  0.0000  0.5000  0.0000

---

[6]
Ti7Co2Ir: relaxed, PBE.

* spin magnetization: 0.0 μB/cell
* energy relative to the elements: 0.19 eV/atom

Lattice parameters (Å, degrees): 4.1636 6.9166 6.9166 115.26 90.00 90.00
Fractional coordinates of all 10 atoms:
Ti  0.0000  0.7472  0.2528
Ti  0.0000  0.2528  0.7472
Ti  0.5000  0.0622  0.2978
Ti  0.5000  0.9378  0.7022
Ti  0.5000  0.2978  0.0622
Ti  0.5000  0.7022  0.9378
Ti  0.5000  0.5000  0.5000
Co  0.5000  0.6957  0.3043
Co  0.5000  0.3043  0.6957
Ir  0.0000  0.0000  0.0000